(1)
Ca5TbSe6: optimized geometry, PBE-GGA.

Unit cell a=7.251 b=7.249 c=7.248 alpha=59.99 beta=80.41 gamma=70.53
Sites, in units of the cell vectors:
Se1 0.753 0.082 0.329
Se2 0.247 0.246 0.000
Se3 0.753 0.754 0.000
Se4 0.247 0.918 0.671
Se5 0.247 0.589 0.329
Se6 0.753 0.411 0.671
Ca1 0.000 0.667 0.667
Ca2 0.500 0.832 0.336
Ca3 0.500 0.500 0.000
Ca4 0.000 0.333 0.333
Ca5 0.500 0.168 0.664
Tb1 0.000 0.000 0.000

Computed properties:
The formation energy without anion corrections comes out at -190 kJ/mol of atoms. The value obtained for the total energy is -4.94 eV per atom.



(2)
ThTaSi2Rh: optimized geometry, PBE-GGA.

Unit cell a=4.145 b=4.145 c=6.158 alpha=109.67 beta=109.67 gamma=90.00
Sites, in units of the cell vectors:
Si1 0.613 0.613 0.226
Si2 0.387 0.387 0.774
Th1 0.000 0.000 0.000
Rh1 0.750 0.250 0.500
Ta1 0.250 0.750 0.500

Computed properties:
The formation energy without anion corrections comes out at -68 kJ/mol of atoms. The value obtained for the total energy is -8.20 eV per atom.



(3)
Zr3TlH: optimized geometry, PBE-GGA.

Unit cell a=3.362 b=3.362 c=20.192 alpha=90.00 beta=90.00 gamma=120.00
Sites, in units of the cell vectors:
H1 0.333 0.667 0.750
H2 0.667 0.333 0.250
Zr1 0.000 0.000 0.750
Zr2 0.333 0.667 0.625
Zr3 0.667 0.333 0.375
Zr4 0.333 0.667 0.875
Zr5 0.000 0.000 0.250
Zr6 0.667 0.333 0.125
Tl1 0.000 0.000 0.000
Tl2 0.000 0.000 0.500

Computed properties:
The value obtained for the total energy is -6.33 eV per atom.



(4)
ZrCo3Cl: optimized geometry, PBE-GGA.

Unit cell a=4.729 b=4.729 c=4.729 alpha=90.00 beta=90.00 gamma=90.00
Sites, in units of the cell vectors:
Co1 0.000 0.000 0.500
Co2 0.000 0.500 0.000
Co3 0.500 0.000 0.000
Cl1 0.500 0.500 0.500
Zr1 0.000 0.000 0.000

Computed properties:
The formation energy without anion corrections comes out at 147 kJ/mol of atoms. The value obtained for the total energy is -4.82 eV per atom. As for the energy above the most stable polymorph in this dataset: 1.043 eV/atom.



(5)
LiAcNd2: optimized geometry, PBE-GGA.

Unit cell a=3.715 b=3.715 c=11.932 alpha=81.03 beta=81.03 gamma=60.00
Sites, in units of the cell vectors:
Li1 0.667 0.667 0.000
Ac1 0.500 0.500 0.500
Nd1 0.077 0.077 0.770
Nd2 0.257 0.257 0.230

Computed properties:
The formation energy is 53.9 kJ/mol of formula units. The value obtained for the total energy is -3.75 eV per atom. As for the energy above the most stable polymorph in this dataset: 0.069 eV/atom.



(6)
Fe14GeW: optimized geometry, PBE-GGA.

Unit cell a=4.968 b=4.968 c=8.095 alpha=90.00 beta=90.00 gamma=108.87
Sites, in units of the cell vectors:
Fe1 0.125 0.875 0.000
Fe2 0.376 0.126 0.244
Fe3 0.376 0.126 0.756
Fe4 0.375 0.625 0.247
Fe5 0.874 0.624 0.244
Fe6 0.375 0.625 0.753
Fe7 0.125 0.375 0.500
Fe8 0.874 0.624 0.756
Fe9 0.625 0.375 0.000
Fe10 0.625 0.875 0.500
Fe11 0.875 0.125 0.247
Fe12 0.625 0.875 0.000
Fe13 0.125 0.375 0.000
Fe14 0.875 0.125 0.753
W1 0.125 0.875 0.500
Ge1 0.625 0.375 0.500

Computed properties:
The formation energy is 3.1 kJ/mol of formula units. The value obtained for the total energy is -8.50 eV per atom.



(7)
MnSiB: optimized geometry, PBE-GGA.

Unit cell a=3.783 b=2.794 c=5.527 alpha=90.00 beta=98.94 gamma=90.00
Sites, in units of the cell vectors:
B1 0.139 0.250 0.538
B2 0.861 0.750 0.462
Si1 0.783 0.250 0.130
Si2 0.217 0.750 0.870
Mn1 0.663 0.250 0.689
Mn2 0.337 0.750 0.311

Computed properties:
The formation energy without anion corrections comes out at -21 kJ/mol of atoms. The value obtained for the total energy is -7.31 eV per atom. As for the energy above the most stable polymorph in this dataset: 0.130 eV/atom.



(8)
PmCuBiRh: optimized geometry, PBE-GGA.

Unit cell a=4.883 b=4.883 c=4.883 alpha=60.00 beta=60.00 gamma=60.00
Sites, in units of the cell vectors:
Cu1 0.750 0.750 0.750
Pm1 0.500 0.500 0.500
Bi1 0.000 0.000 0.000
Rh1 0.250 0.250 0.250

Computed properties:
The formation energy is -140.5 kJ/mol of formula units. The value obtained for the total energy is -5.38 eV per atom.



(9)
LiPmPt2: optimized geometry, PBE-GGA.

Unit cell a=4.373 b=4.373 c=5.355 alpha=65.90 beta=65.90 gamma=60.00
Sites, in units of the cell vectors:
Pt1 0.217 0.217 0.350
Pt2 0.783 0.783 0.650
Pm1 0.000 0.000 0.000
Li1 0.500 0.500 0.500

Computed properties:
The formation energy is -327.2 kJ/mol of formula units. The value obtained for the total energy is -5.53 eV per atom. As for the energy above the most stable polymorph in this dataset: 0.041 eV/atom.



(10)
CsTeS2O8: optimized geometry, PBE-GGA.

Unit cell a=5.384 b=6.136 c=7.759 alpha=68.23 beta=69.70 gamma=63.98
Sites, in units of the cell vectors:
O1 0.141 0.059 0.207
O2 0.666 0.628 0.039
O3 0.859 0.941 0.793
O4 0.594 0.059 0.207
O5 0.406 0.941 0.793
O6 0.334 0.372 0.961
O7 0.844 0.609 0.703
O8 0.156 0.391 0.297
S1 0.300 0.239 0.161
S2 0.700 0.761 0.839
Cs1 0.500 0.500 0.500
Te1 0.000 0.000 0.000

Computed properties:
The formation energy without anion corrections comes out at -127 kJ/mol of atoms. The value obtained for the total energy is -5.65 eV per atom.



(11)
LiFe2AuN: optimized geometry, PBE-GGA.

Unit cell a=3.741 b=3.741 c=4.164 alpha=90.00 beta=90.00 gamma=90.00
Sites, in units of the cell vectors:
Li1 0.000 0.000 0.500
N1 0.000 0.000 0.000
Fe1 0.500 0.000 0.000
Fe2 0.000 0.500 0.000
Au1 0.500 0.500 0.500

Computed properties:
The formation energy without anion corrections comes out at -20 kJ/mol of atoms. The value obtained for the total energy is -6.30 eV per atom.



(12)
Ca2H6Pt: optimized geometry, PBE-GGA.

Unit cell a=4.694 b=6.603 c=7.776 alpha=114.61 beta=90.00 gamma=90.00
Sites, in units of the cell vectors:
Pt1 0.500 0.500 0.000
Pt2 0.000 0.000 0.500
H1 0.461 0.386 0.768
H2 0.039 0.886 0.268
H3 0.262 0.153 0.084
H4 0.539 0.614 0.232
H5 0.961 0.114 0.732
H6 0.785 0.344 0.977
H7 0.238 0.653 0.584
H8 0.285 0.156 0.523
H9 0.215 0.656 0.023
H10 0.762 0.347 0.416
H11 0.715 0.844 0.477
H12 0.738 0.847 0.916
Ca1 0.551 0.998 0.228
Ca2 0.051 0.502 0.272
Ca3 0.949 0.498 0.728
Ca4 0.449 0.002 0.772

Computed properties:
The value obtained for the total energy is -3.83 eV per atom.



(13)
BaCuSb2: optimized geometry, PBE-GGA.

Unit cell a=6.441 b=6.441 c=6.441 alpha=138.62 beta=138.62 gamma=59.96
Sites, in units of the cell vectors:
Ba1 0.250 0.750 0.500
Cu1 0.750 0.250 0.500
Sb1 0.000 0.000 0.000
Sb2 0.500 0.500 0.000

Computed properties:
The formation energy without anion corrections comes out at -9 kJ/mol of atoms. The value obtained for the total energy is -3.66 eV per atom.



(14)
CaSmTlRh: optimized geometry, PBE-GGA.

Unit cell a=3.463 b=3.463 c=8.417 alpha=90.00 beta=90.00 gamma=90.00
Sites, in units of the cell vectors:
Rh1 0.000 0.000 0.560
Tl1 0.000 0.000 0.072
Ca1 0.500 0.500 0.784
Sm1 0.500 0.500 0.369

Computed properties:
The formation energy is -187.8 kJ/mol of formula units. The value obtained for the total energy is -4.60 eV per atom. As for the energy above the most stable polymorph in this dataset: 0.000 eV/atom.



(15)
BeOs2O: optimized geometry, PBE-GGA.

Unit cell a=3.954 b=3.954 c=3.954 alpha=60.00 beta=60.00 gamma=60.00
Sites, in units of the cell vectors:
Os1 0.750 0.750 0.750
Os2 0.250 0.250 0.250
O1 0.500 0.500 0.500
Be1 0.000 0.000 0.000

Computed properties:
The formation energy without anion corrections comes out at 61 kJ/mol of atoms. The value obtained for the total energy is -7.15 eV per atom. As for the energy above the most stable polymorph in this dataset: 0.000 eV/atom.



(16)
BaCr2As: optimized geometry, PBE-GGA.

Unit cell a=3.508 b=3.508 c=6.911 alpha=90.00 beta=90.00 gamma=90.00
Sites, in units of the cell vectors:
As1 0.500 0.500 0.250
Cr1 0.000 0.000 0.390
Cr2 0.000 0.000 0.110
Ba1 0.500 0.500 0.750

Computed properties:
The formation energy is 193.0 kJ/mol of formula units. The value obtained for the total energy is -5.95 eV per atom.



(17)
Rb3Na5Hg12: optimized geometry, PBE-GGA.

Unit cell a=16.471 b=16.471 c=16.471 alpha=109.47 beta=109.47 gamma=109.47
Sites, in units of the cell vectors:
Rb1 0.625 0.375 0.750
Rb2 0.250 0.625 0.875
Rb3 0.375 0.750 0.625
Rb4 0.750 0.875 0.625
Rb5 0.375 0.625 0.250
Rb6 0.875 0.125 0.250
Rb7 0.750 0.375 0.125
Rb8 0.875 0.750 0.125
Rb9 0.625 0.250 0.375
Rb10 0.250 0.125 0.375
Rb11 0.125 0.875 0.750
Rb12 0.125 0.250 0.875
Hg1 0.718 0.575 0.152
Hg2 0.652 0.218 0.575
Hg3 0.435 0.782 0.858
Hg4 0.282 0.425 0.848
Hg5 0.152 0.075 0.718
Hg6 0.358 0.935 0.782
Hg7 0.575 0.858 0.423
Hg8 0.935 0.358 0.282
Hg9 0.858 0.575 0.923
Hg10 0.065 0.642 0.718
Hg11 0.077 0.152 0.435
Hg12 0.575 0.718 0.652
Hg13 0.923 0.075 0.858
Hg14 0.577 0.935 0.652
Hg15 0.423 0.065 0.348
Hg16 0.718 0.142 0.065
Hg17 0.923 0.848 0.565
Hg18 0.848 0.923 0.065
Hg19 0.848 0.925 0.282
Hg20 0.142 0.718 0.565
Hg21 0.782 0.435 0.358
Hg22 0.652 0.435 0.577
Hg23 0.925 0.077 0.642
Hg24 0.218 0.652 0.075
Hg25 0.077 0.925 0.142
Hg26 0.075 0.152 0.218
Hg27 0.565 0.218 0.142
Hg28 0.348 0.782 0.425
Hg29 0.565 0.348 0.923
Hg30 0.282 0.858 0.935
Hg31 0.935 0.577 0.152
Hg32 0.075 0.923 0.358
Hg33 0.218 0.565 0.642
Hg34 0.782 0.348 0.925
Hg35 0.142 0.425 0.077
Hg36 0.435 0.652 0.077
Hg37 0.642 0.577 0.925
Hg38 0.858 0.282 0.435
Hg39 0.425 0.282 0.348
Hg40 0.577 0.642 0.425
Hg41 0.642 0.065 0.218
Hg42 0.348 0.565 0.423
Hg43 0.358 0.423 0.075
Hg44 0.925 0.848 0.782
Hg45 0.152 0.077 0.935
Hg46 0.065 0.423 0.848
Hg47 0.425 0.142 0.577
Hg48 0.423 0.358 0.575
Na1 0.500 0.500 0.500
Na2 0.750 0.125 0.875
Na3 0.500 0.000 0.000
Na4 0.500 0.500 0.000
Na5 0.000 0.500 0.500
Na6 0.375 0.250 0.125
Na7 0.375 0.125 0.750
Na8 0.250 0.375 0.625
Na9 0.625 0.875 0.250
Na10 0.000 0.000 0.000
Na11 0.625 0.750 0.875
Na12 0.875 0.625 0.750
Na13 0.750 0.625 0.375
Na14 0.125 0.750 0.375
Na15 0.250 0.875 0.125
Na16 0.000 0.000 0.500
Na17 0.875 0.250 0.625
Na18 0.125 0.375 0.250
Na19 0.000 0.500 0.000
Na20 0.500 0.000 0.500

Computed properties:
The formation energy is -67.7 kJ/mol of formula units. The value obtained for the total energy is -0.69 eV per atom.



(18)
CrCdRe2: optimized geometry, PBE-GGA.

Unit cell a=4.860 b=4.860 c=4.856 alpha=78.63 beta=78.63 gamma=33.90
Sites, in units of the cell vectors:
Re1 0.993 0.993 0.999
Re2 0.738 0.738 0.799
Cr1 0.265 0.265 0.211
Cd1 0.503 0.503 0.492

Computed properties:
The formation energy is 205.5 kJ/mol of formula units. The value obtained for the total energy is -8.33 eV per atom.



(19)
Li2Nd3Tl6: optimized geometry, PBE-GGA.

Unit cell a=4.748 b=4.748 c=13.503 alpha=100.13 beta=100.13 gamma=90.00
Sites, in units of the cell vectors:
Tl1 0.904 0.404 0.807
Tl2 0.404 0.904 0.807
Tl3 0.687 0.687 0.373
Tl4 0.096 0.596 0.193
Tl5 0.313 0.313 0.627
Tl6 0.596 0.096 0.193
Li1 0.453 0.453 0.906
Li2 0.547 0.547 0.094
Nd1 0.809 0.809 0.617
Nd2 0.000 0.000 0.000
Nd3 0.191 0.191 0.383

Computed properties:
The formation energy is -270.3 kJ/mol of formula units. The value obtained for the total energy is -3.19 eV per atom.



(20)
CsB2Rh: optimized geometry, PBE-GGA.

Unit cell a=4.617 b=4.617 c=4.617 alpha=60.00 beta=60.00 gamma=60.00
Sites, in units of the cell vectors:
B1 0.750 0.750 0.750
B2 0.250 0.250 0.250
Cs1 0.500 0.500 0.500
Rh1 0.000 0.000 0.000

Computed properties:
The formation energy is 855.5 kJ/mol of formula units. The value obtained for the total energy is -3.17 eV per atom. As for the energy above the most stable polymorph in this dataset: 1.906 eV/atom.